No. 1
Rb2BaLaSc | the Alexandria database | GGA-PBE | optimized geometry; formation energy = 1204.1 meV per atom; total energy = -9.1 eV per cell; magnetic moment = 2.9 μB/cell; space group = No. 123; Fermi-level density of states = 7.16 states/eV/cell
1.0
-0.777 2.613 6.134
-5.318 -3.264 0.717
3.486 -5.105 2.616
Rb Sc Ba La
2 1 1 1
direct
0.500 0.000 0.000
0.000 0.000 0.500
0.500 0.500 0.500
0.000 0.000 0.000
0.000 0.500 0.000

No. 2
Rb3BaLa2Se6 | the Alexandria database | GGA-PBE | optimized geometry; raw formation energy = -1.6338 eV per atom; total energy = -55.2 eV per cell; magnetic moment = 0.0 μB/cell; space group = No. 12; Fermi-level density of states = 19.68 states/eV/cell
1.0
-3.626 3.188 -6.314
5.221 -5.912 -0.980
-6.446 -4.425 3.143
Rb Se Ba La
3 6 1 2
direct
0.162 0.838 0.500
0.500 0.500 0.500
0.838 0.162 0.500
0.288 0.288 0.794
0.574 0.931 0.794
0.931 0.574 0.794
0.069 0.426 0.206
0.712 0.712 0.206
0.426 0.069 0.206
0.000 0.000 0.000
0.333 0.667 0.000
0.667 0.333 0.000

No. 3
Rb2BaLaTc | the Alexandria database | GGA-PBE | optimized geometry; formation energy = 2165.5 meV per atom; total energy = -8.3 eV per cell; magnetic moment = 0.0 μB/cell; space group = No. 123; Fermi-level density of states = 30.09 states/eV/cell
1.0
6.403 0.000 0.000
0.000 6.296 0.000
0.000 0.000 6.403
Ba Rb La Tc
1 2 1 1
direct
0.000 0.500 0.000
0.000 0.000 0.500
0.500 0.000 0.000
0.000 0.000 0.000
0.500 0.500 0.500

No. 4
RbBa2LaTi | the Alexandria database | GGA-PBE | optimized geometry; formation energy = 1180.3 meV per atom; total energy = -11.7 eV per cell; magnetic moment = 1.7 μB/cell; space group = No. 123; Fermi-level density of states = 8.01 states/eV/cell
1.0
6.362 0.000 0.000
0.000 5.558 0.000
0.000 0.000 6.362
Ba Rb Ti La
2 1 1 1
direct
0.500 0.000 0.000
0.000 0.000 0.500
0.000 0.000 0.000
0.000 0.500 0.000
0.500 0.500 0.500

No. 5
BaLa3Re | the Alexandria database | GGA-PBE | optimized geometry; formation energy = 1797.2 meV per atom; total energy = -20.2 eV per cell; magnetic moment = 3.2 μB/cell; space group = No. 221; Fermi-level density of states = 9.11 states/eV/cell; E above lowest polymorph = 1630.0 meV per atom
1.0
5.783 0.000 0.000
0.000 5.783 0.000
0.000 0.000 5.783
La Re Ba
3 1 1
direct
0.000 0.000 0.500
0.000 0.500 0.000
0.500 0.000 0.000
0.500 0.500 0.500
0.000 0.000 0.000

No. 6
BaLa2Re | the Alexandria database | GGA-PBE | optimized geometry; formation energy = 260.7 meV per atom; total energy = -23.2 eV per cell; magnetic moment = 0.0 μB/cell; space group = No. 123; Fermi-level density of states = 5.69 states/eV/cell; E above lowest polymorph = 0.0 meV per atom
1.0
3.616 0.000 0.000
0.000 3.616 0.029
0.000 3.531 10.583
La Ba Re
2 1 1
direct
0.000 0.586 0.413
0.000 0.914 0.087
0.500 0.750 0.750
0.500 0.250 0.250

No. 7
BaLa4Re | the Alexandria database | GGA-PBE | optimized geometry; formation energy = 913.1 meV per atom; total energy = -28.6 eV per cell; magnetic moment = 0.0 μB/cell; space group = No. 216; Fermi-level density of states = 10.46 states/eV/cell
1.0
4.630 -3.845 -2.238
-1.262 -6.179 -1.208
-0.225 -2.105 -6.062
La Re Ba
4 1 1
direct
0.378 0.866 0.378
0.866 0.378 0.378
0.378 0.378 0.866
0.378 0.378 0.378
0.750 0.750 0.750
0.000 0.000 0.000

No. 8
Ba2LaRe2 | the Alexandria database | GGA-PBE | optimized geometry; formation energy = 682.0 meV per atom; total energy = -30.3 eV per cell; magnetic moment = 0.0 μB/cell; space group = No. 139; Fermi-level density of states = 10.03 states/eV/cell; E above lowest polymorph = 0.0 meV per atom
1.0
3.617 0.000 0.000
0.000 3.617 0.000
1.808 1.808 12.716
Ba La Re
2 1 2
direct
0.636 0.636 0.728
0.364 0.364 0.272
0.000 0.000 0.000
0.250 0.750 0.500
0.750 0.250 0.500

No. 9
Ba3LaRe | the Alexandria database | GGA-PBE | optimized geometry; formation energy = 881.2 meV per atom; total energy = -18.7 eV per cell; magnetic moment = 0.0 μB/cell; space group = No. 221; Fermi-level density of states = 6.88 states/eV/cell; E above lowest polymorph = 0.0 meV per atom
1.0
5.998 0.000 0.000
0.000 5.998 0.000
0.000 0.000 5.998
Ba La Re
3 1 1
direct
0.000 0.500 0.000
0.500 0.000 0.000
0.000 0.000 0.500
0.500 0.500 0.500
0.000 0.000 0.000

No. 10
BaLa2Re | the Alexandria database | GGA-PBE | optimized geometry; formation energy = 879.9 meV per atom; total energy = -20.7 eV per cell; magnetic moment = 0.0 μB/cell; space group = No. 12; Fermi-level density of states = 4.85 states/eV/cell; E above lowest polymorph = 619.2 meV per atom
1.0
-2.437 5.304 -2.193
-1.682 -1.932 6.069
1.991 1.747 2.028
La Re Ba
2 1 1
direct
0.500 0.000 0.500
0.000 0.000 0.000
0.000 0.500 0.500
0.500 0.500 0.000

No. 11
BaLa2Re | the Alexandria database | GGA-PBE | optimized geometry; formation energy = 386.0 meV per atom; total energy = -22.7 eV per cell; magnetic moment = 0.0 μB/cell; space group = No. 6; Fermi-level density of states = 5.43 states/eV/cell; E above lowest polymorph = 125.3 meV per atom
1.0
3.790 0.000 0.000
0.000 4.710 0.053
0.000 2.250 8.640
La Ba Re
2 1 1
direct
0.000 0.900 0.073
0.500 0.256 0.363
0.500 0.584 0.707
0.000 0.759 0.356

No. 12
BaLa2Re | the Alexandria database | GGA-PBE | optimized geometry; formation energy = 607.1 meV per atom; total energy = -21.8 eV per cell; magnetic moment = 0.0 μB/cell; space group = No. 225; Fermi-level density of states = 6.66 states/eV/cell; E above lowest polymorph = 346.4 meV per atom
1.0
-0.488 -5.044 -1.968
-4.437 -2.936 1.116
-3.620 -1.051 -3.917
La Ba Re
2 1 1
direct
0.250 0.250 0.250
0.750 0.750 0.750
0.000 0.000 0.000
0.500 0.500 0.500

No. 13
BaLa2Re | the Alexandria database | GGA-PBE | optimized geometry; formation energy = 326.7 meV per atom; total energy = -22.9 eV per cell; magnetic moment = 0.0 μB/cell; space group = No. 1; Fermi-level density of states = 4.19 states/eV/cell; E above lowest polymorph = 66.0 meV per atom
1.0
8.764 0.098 0.087
6.643 5.896 0.100
-7.328 -3.886 2.831
Ba Re La
1 1 2
direct
0.335 0.904 0.569
0.512 0.475 0.963
0.003 0.836 0.833
0.649 0.285 0.635

No. 14
BaLa2Re | the Alexandria database | GGA-PBE | optimized geometry; formation energy = 738.9 meV per atom; total energy = -21.3 eV per cell; magnetic moment = 0.0 μB/cell; space group = No. 119; Fermi-level density of states = 4.22 states/eV/cell; E above lowest polymorph = 478.2 meV per atom
1.0
-5.855 -1.555 -0.795
-3.060 -0.886 5.214
3.597 4.438 -2.168
Re Ba La
1 1 2
direct
0.500 0.500 0.000
0.750 0.250 0.500
0.250 0.750 0.500
0.000 0.000 0.000

No. 15
BaLa2Re | the Alexandria database | GGA-PBE | optimized geometry; formation energy = 509.3 meV per atom; total energy = -22.2 eV per cell; magnetic moment = 0.0 μB/cell; space group = No. 99; Fermi-level density of states = 3.76 states/eV/cell; E above lowest polymorph = 248.6 meV per atom
1.0
-0.668 -3.241 -2.311
-0.999 -2.132 3.279
-7.977 2.307 -0.930
Re La Ba
1 2 1
direct
0.000 0.000 0.424
0.500 0.500 0.298
0.000 0.000 0.081
0.500 0.500 0.697

No. 16
Ba3LaRe | the Alexandria database | GGA-PBE | optimized geometry; formation energy = 2003.7 meV per atom; total energy = -13.1 eV per cell; magnetic moment = 0.0 μB/cell; space group = No. 221; Fermi-level density of states = 29.09 states/eV/cell; E above lowest polymorph = 1122.5 meV per atom
1.0
-0.008 2.488 5.540
-6.065 -0.284 0.119
0.308 -5.533 2.485
Re Ba La
1 3 1
direct
0.500 0.500 0.500
0.500 0.000 0.000
0.000 0.500 0.000
0.000 0.000 0.500
0.000 0.000 0.000

No. 17
BaLa2Re | the Alexandria database | GGA-PBE | optimized geometry; formation energy = 767.3 meV per atom; total energy = -21.2 eV per cell; magnetic moment = 0.0 μB/cell; space group = No. 216; Fermi-level density of states = 5.48 states/eV/cell; E above lowest polymorph = 506.6 meV per atom
1.0
-2.331 3.843 -3.026
-1.557 -1.115 -5.069
-5.273 -0.327 -1.205
Re La Ba
1 2 1
direct
0.750 0.750 0.750
0.000 0.000 0.000
0.250 0.250 0.250
0.500 0.500 0.500

No. 18
BaLa2Re | the Alexandria database | GGA-PBE | optimized geometry; formation energy = 380.4 meV per atom; total energy = -22.7 eV per cell; magnetic moment = 0.0 μB/cell; space group = No. 12; Fermi-level density of states = 5.03 states/eV/cell; E above lowest polymorph = 119.7 meV per atom
1.0
-1.809 -2.321 3.922
-3.875 -3.006 0.010
2.901 -6.952 -0.315
La Re Ba
2 1 1
direct
0.553 0.553 0.401
0.947 0.947 0.099
0.250 0.250 0.250
0.750 0.750 0.750

No. 19
BaLa2Re | the Alexandria database | GGA-PBE | optimized geometry; formation energy = 391.0 meV per atom; total energy = -22.7 eV per cell; magnetic moment = 0.0 μB/cell; space group = No. 71; Fermi-level density of states = 3.76 states/eV/cell; E above lowest polymorph = 130.3 meV per atom
1.0
6.638 -0.012 -0.002
2.355 6.207 0.002
-3.562 -4.455 3.397
La Re Ba
2 1 1
direct
0.573 0.573 0.000
0.927 0.927 0.000
0.750 0.250 0.500
0.250 0.750 0.500

No. 20
BaLa2Re | the Alexandria database | GGA-PBE | optimized geometry; formation energy = 743.2 meV per atom; total energy = -21.3 eV per cell; magnetic moment = 0.0 μB/cell; space group = No. 47; Fermi-level density of states = 4.76 states/eV/cell; E above lowest polymorph = 482.5 meV per atom
1.0
-0.303 2.852 4.116
-0.006 -4.134 2.865
4.634 0.155 0.234
La Ba Re
2 1 1
direct
0.000 0.000 0.000
0.500 0.500 0.000
0.000 0.500 0.500
0.500 0.000 0.500

No. 21
Ba2LaRe2 | the Alexandria database | GGA-PBE | optimized geometry; formation energy = 1135.0 meV per atom; total energy = -56.0 eV per cell; magnetic moment = 0.0 μB/cell; space group = No. 127; Fermi-level density of states = 16.02 states/eV/cell; E above lowest polymorph = 453.1 meV per atom
1.0
-0.119 1.375 9.574
9.523 -1.661 0.357
0.565 3.143 -0.445
Re Ba La
4 4 2
direct
0.582 0.918 0.500
0.082 0.582 0.500
0.918 0.418 0.500
0.418 0.082 0.500
0.300 0.800 0.000
0.700 0.200 0.000
0.200 0.300 0.000
0.800 0.700 0.000
0.000 0.000 0.000
0.500 0.500 0.000

No. 22
BaLa2Re | the Alexandria database | GGA-PBE | optimized geometry; formation energy = 361.1 meV per atom; total energy = -22.8 eV per cell; magnetic moment = 0.0 μB/cell; space group = No. 166; Fermi-level density of states = 7.04 states/eV/cell; E above lowest polymorph = 100.4 meV per atom
1.0
10.157 -0.050 -0.030
9.256 4.182 -0.030
9.256 1.970 3.689
La Ba Re
2 1 1
direct
0.966 0.966 0.966
0.534 0.534 0.534
0.750 0.750 0.750
0.250 0.250 0.250

No. 23
BaLa3Re | the Alexandria database | GGA-PBE | optimized geometry; formation energy = 167.3 meV per atom; total energy = -28.3 eV per cell; magnetic moment = 0.2 μB/cell; space group = No. 221; Fermi-level density of states = 3.61 states/eV/cell; E above lowest polymorph = 0.0 meV per atom
1.0
-1.750 -0.619 -5.491
-0.127 -5.754 0.689
-5.525 0.329 1.724
Re Ba La
1 1 3
direct
0.000 0.000 0.000
0.500 0.500 0.500
0.000 0.500 0.000
0.000 0.000 0.500
0.500 0.000 0.000

No. 24
BaLa2Re | the Alexandria database | GGA-PBE | optimized geometry; formation energy = 559.4 meV per atom; total energy = -44.0 eV per cell; magnetic moment = 0.0 μB/cell; space group = No. 122; Fermi-level density of states = 16.45 states/eV/cell; E above lowest polymorph = 298.7 meV per atom
1.0
-3.520 -4.211 6.353
7.502 -0.675 3.709
1.035 2.676 7.895
Ba Re La
2 2 4
direct
0.250 0.750 0.500
0.500 0.500 0.000
0.750 0.250 0.500
0.000 0.000 0.000
0.875 0.124 0.750
0.876 0.625 0.250
0.874 0.125 0.250
0.375 0.126 0.750

No. 25
Ba4LaRe | the Alexandria database | GGA-PBE | optimized geometry; formation energy = 1287.6 meV per atom; total energy = -17.3 eV per cell; magnetic moment = 0.7 μB/cell; space group = No. 216; Fermi-level density of states = 11.25 states/eV/cell
1.0
-1.565 -4.833 4.945
-6.283 -3.281 -0.114
-0.385 -6.860 -1.745
Ba Re La
4 1 1
direct
0.878 0.374 0.374
0.374 0.878 0.374
0.374 0.374 0.878
0.374 0.374 0.374
0.000 0.000 0.000
0.750 0.750 0.750

No. 26
BaLa2ReS | the Alexandria database | GGA-PBE | optimized geometry; raw formation energy = 1.7996 eV per atom; total energy = -19.4 eV per cell; magnetic moment = 0.0 μB/cell; space group = No. 123; Fermi-level density of states = 12.73 states/eV/cell
1.0
-2.426 -5.276 1.377
4.262 -1.187 2.962
-2.628 2.452 4.764
La Ba S Re
2 1 1 1
direct
0.000 0.000 0.500
0.500 0.000 0.000
0.000 0.000 0.000
0.000 0.500 0.000
0.500 0.500 0.500

No. 27
BaLa2YRe | the Alexandria database | GGA-PBE | optimized geometry; formation energy = 164.8 meV per atom; total energy = -29.9 eV per cell; magnetic moment = 0.0 μB/cell; space group = No. 123; Fermi-level density of states = 4.07 states/eV/cell
1.0
5.667 0.000 0.000
0.000 5.667 0.000
0.000 0.000 5.783
La Y Re Ba
2 1 1 1
direct
0.000 0.500 0.000
0.500 0.000 0.000
0.000 0.000 0.500
0.000 0.000 0.000
0.500 0.500 0.500

No. 28
BaLaZr2Re | the Alexandria database | GGA-PBE | optimized geometry; formation energy = 2129.7 meV per atom; total energy = -25.7 eV per cell; magnetic moment = 0.0 μB/cell; space group = No. 123; Fermi-level density of states = 10.60 states/eV/cell
1.0
-3.684 0.815 3.498
0.877 -5.251 2.148
3.505 1.913 3.245
Zr Ba Re La
2 1 1 1
direct
0.500 0.000 0.000
0.000 0.000 0.500
0.000 0.500 0.000
0.500 0.500 0.500
0.000 0.000 0.000

No. 29
BaLaRh3 | the Alexandria database | GGA-PBE | optimized geometry; formation energy = 248.4 meV per atom; total energy = -27.7 eV per cell; magnetic moment = 0.0 μB/cell; space group = No. 221; Fermi-level density of states = 0.95 states/eV/cell; E above lowest polymorph = 0.0 meV per atom
1.0
-2.155 3.979 -2.298
-1.827 -3.071 -3.604
-4.216 -0.703 2.737
Rh La Ba
3 1 1
direct
0.000 0.000 0.500
0.500 0.000 0.000
0.000 0.500 0.000
0.000 0.000 0.000
0.500 0.500 0.500